VASP calculation (PBE-GGA) on a geometry-optimized TaTl4S5 structure.

## Properties
SG: I4
calculated volume: 278 Å³/cell
energy relative to the elements, uncorrected: -0.533 eV/atom

abc: 6.209 7.373 7.373
angles: 79.79 65.10 65.10
Element x y z (fractional)
Ta1 0.083 0.000 0.000
Tl1 0.389 0.414 0.793
Tl2 0.803 0.793 0.586
Tl3 0.181 0.207 0.414
Tl4 0.596 0.586 0.207
S1 0.911 0.325 0.856
S2 0.236 0.856 0.675
S3 0.767 0.144 0.325
S4 0.093 0.675 0.144
S5 0.450 0.000 0.000


VASP calculation (PBE-GGA) on a geometry-optimized Ac2PS structure.

## Properties
SG: Pmmn
energy relative to the lowest polymorph listed for this composition: 0.003 eV/atom
calculated volume: 238 Å³/cell
energy relative to the elements, uncorrected: -1.800 eV/atom

abc: 4.387 6.190 8.759
angles: 90.00 90.00 90.00
Element x y z (fractional)
Ac1 0.000 0.000 0.869
Ac2 0.000 0.000 0.381
Ac3 0.500 0.500 0.619
Ac4 0.500 0.500 0.131
P1 0.500 0.000 0.629
P2 0.000 0.500 0.371
S1 0.000 0.500 0.878
S2 0.500 0.000 0.122


VASP calculation (PBE-GGA) on a geometry-optimized TiPAu3 structure.

## Properties
energy of formation: 376.5 meV per atom
SG: Pm-3m
energy relative to the lowest polymorph listed for this composition: 0.000 eV/atom
calculated volume: 104 Å³/cell

abc: 4.701 4.701 4.701
angles: 90.00 90.00 90.00
Element x y z (fractional)
P1 0.000 0.000 0.000
Au1 0.000 0.500 0.000
Au2 0.000 0.000 0.500
Au3 0.500 0.000 0.000
Ti1 0.500 0.500 0.500


- calculated volume of number 2 (Ac2PS)?
  238 Å³/cell


- Which formula does entry 1 have?
  TaTl4S5